Record 1
MgBS2: single point on PBEsol structure, SCAN.

abc: 5.3634 5.3634 8.7599
angles: 90.00 90.00 90.00
Last column: nearest neighbours and their distance in Å.
Space group I-42d (No. 122)
Asymmetric unit:
Mg (0.0000, 0.0000, 0.0000)  4 S 2.49
B (0.0000, 0.0000, 0.5000)  4 S 1.95
S (0.1654, 0.2500, 0.6250)  2 B 1.95

Properties
* total moment: 0.00 μB/cell
* ΔE_f (raw): -0.36 eV per atom

---

Record 2
Al3CoIr: single point on PBEsol structure, SCAN.

abc: 4.2635 4.2635 4.2635
angles: 90.00 90.00 90.00
Last column: nearest neighbours and their distance in Å.
Space group Pm-3m (No. 221)
Asymmetric unit:
Al (0.0000, 0.0000, 0.5000)  2 Co 2.13
Co (0.0000, 0.0000, 0.0000)  6 Al 2.13
Ir (0.5000, 0.5000, 0.5000)  12 Al 3.01

Properties
* total moment: 0.00 μB/cell
* total DFT energy (no corrections): -22.123 eV/atom

---

Record 3
CrIrF2: single point on PBEsol structure, SCAN.

abc: 6.7415 6.7415 4.7290
angles: 90.00 90.00 90.00
Last column: nearest neighbours and their distance in Å.
Space group I-42d (No. 122)
Asymmetric unit:
Cr (0.0000, 0.0000, 0.0000)  4 F 1.96
Ir (0.0000, 0.0000, 0.5000)  2 Cr 2.36, 4 F 2.58
F (0.1194, 0.2500, 0.1250)  2 Cr 1.96

Properties
* total moment: 7.69 μB/cell
* ΔE_f (raw): -0.50 eV per atom

---

Record 4
MgCrIr: single point on PBEsol structure, SCAN.

abc: 5.9090 5.9090 5.9090
angles: 90.00 90.00 90.00
Last column: nearest neighbours and their distance in Å.
Space group F-43m (No. 216)
Asymmetric unit:
Mg (0.0000, 0.0000, 0.0000)  4 Cr 2.56, 4 Ir 2.56
Cr (0.2500, 0.2500, 0.2500)  4 Mg 2.56
Ir (0.2500, 0.2500, 0.7500)  4 Mg 2.56

Properties
* total moment: 16.21 μB/cell
* total DFT energy (no corrections): -30.943 eV/atom

---

Record 5
AlAg7: single point on PBEsol structure, SCAN.

abc: 7.9214 11.5358 2.8680
angles: 90.00 90.00 90.00
Last column: nearest neighbours and their distance in Å.
Space group Cmmm (No. 65)
Asymmetric unit:
Al (0.0000, 0.0000, 0.0000)  10 Ag 2.77-2.95, 2 Al 2.87
Ag (0.0000, 0.2556, 0.0000)  11 Ag 2.82-2.88, 1 Al 2.95
Ag (0.0000, 0.5000, 0.0000)  12 Ag 2.82-2.88
Ag (0.2399, 0.1227, 0.5000)  2 Al 2.77, 10 Ag 2.83-2.94

Properties
* total moment: 0.00 μB/cell
* total DFT energy (no corrections): -28.456 eV/atom

---

Record 6
CsGa2Ge2: single point on PBEsol structure, SCAN.

abc: 4.7858 4.7858 10.1496
angles: 90.00 90.00 90.00
Last column: nearest neighbours and their distance in Å.
Space group I4/mmm (No. 139)
Asymmetric unit:
Cs (0.0000, 0.0000, 0.0000)  8 Ga 3.49, 10 Ge 3.63-3.77
Ga (0.0000, 0.5000, 0.2500)  4 Ge 2.69
Ge (0.0000, 0.0000, 0.3714)  1 Ge 2.61, 4 Ga 2.69

Properties
* total moment: 0.00 μB/cell
* total DFT energy (no corrections): -21.794 eV/atom

---

Record 7
Tc2MoOs: single point on PBEsol structure, SCAN.

abc: 2.7274 3.8392 5.4873
angles: 90.00 90.00 90.00
Last column: nearest neighbours and their distance in Å.
Space group Pmmm (No. 47)
Asymmetric unit:
Tc (0.0000, 0.0000, 0.2424)  4 Tc 2.66-2.83, 4 Os 2.70, 4 Mo 2.75
Mo (0.5000, 0.5000, 0.5000)  2 Mo 2.73, 2 Os 2.74, 8 Tc 2.75
Os (0.5000, 0.5000, 0.0000)  8 Tc 2.70, 2 Os 2.73, 2 Mo 2.74

Properties
* total moment: 0.00 μB/cell
* total DFT energy (no corrections): -44.118 eV/atom

---

Record 8
KSrNb2Tc: single point on PBEsol structure, SCAN.

abc: 4.9409 4.9409 5.0970
angles: 90.00 90.00 90.00
Last column: nearest neighbours and their distance in Å.
Space group P4/mmm (No. 123)
Asymmetric unit:
K (0.0000, 0.0000, 0.0000)  2 Sr 2.55
Sr (0.0000, 0.0000, 0.5000)  4 Nb 2.47, 2 K 2.55
Nb (0.0000, 0.5000, 0.5000)  2 Sr 2.47
Tc (0.5000, 0.5000, 0.0000)  4 K 3.49, 8 Nb 3.55

Properties
* total moment: 0.63 μB/cell
* total DFT energy (no corrections): -23.607 eV/atom

---

Record 9
Sc3C: single point on PBEsol structure, SCAN.

abc: 3.0745 8.9254 5.4693
angles: 90.00 90.00 90.00
Last column: nearest neighbours and their distance in Å.
Space group Imm2 (No. 44)
Asymmetric unit:
Sc (0.0000, 0.0000, 0.0000)  2 C 2.23
Sc (0.0000, 0.1668, 0.5383)  2 C 2.33
C (0.0000, 0.5000, 0.2051)  6 Sc 2.23-2.33

Properties
* total moment: 1.71 μB/cell
* total DFT energy (no corrections): -13.363 eV/atom

---

Record 10
Ce2SnHg: single point on PBEsol structure, SCAN.

abc: 7.5267 7.5267 7.5267
angles: 90.00 90.00 90.00
Last column: nearest neighbours and their distance in Å.
Space group Fm-3m (No. 225)
Asymmetric unit:
Ce (0.2500, 0.2500, 0.2500)  4 Hg 3.26, 4 Sn 3.26
Sn (0.0000, 0.0000, 0.0000)  8 Ce 3.26
Hg (0.0000, 0.0000, 0.5000)  8 Ce 3.26

Properties
* total moment: 8.96 μB/cell
* total DFT energy (no corrections): -48.908 eV/atom

---

Record 11
NbTe3Pt: single point on PBEsol structure, SCAN.

abc: 5.1752 5.1752 5.1752
angles: 90.00 90.00 90.00
Last column: nearest neighbours and their distance in Å.
Space group Pm-3m (No. 221)
Asymmetric unit:
Nb (0.0000, 0.0000, 0.0000)  12 Te 3.66
Te (0.0000, 0.5000, 0.5000)  2 Pt 2.59
Pt (0.5000, 0.5000, 0.5000)  6 Te 2.59

Properties
* total moment: 1.84 μB/cell
* ΔE_f (raw): 0.61 eV per atom

---

Record 12
Li3Co4O8: single point on PBEsol structure, SCAN.

abc: 7.6869 8.1447 5.5214
angles: 90.00 134.04 90.00
Last column: nearest neighbours and their distance in Å.
Space group C2/m (No. 12)
Asymmetric unit:
Li (0.0000, 0.0000, 0.0000)  6 O 2.01-2.18
Li (0.2500, 0.2500, 0.0000)  6 O 1.93-2.04
Co (0.0000, 0.5000, 0.0000)  6 O 1.85-1.89
Co (0.0000, 0.5000, 0.5000)  6 O 1.83-1.87
Co (0.2500, 0.2500, 0.5000)  6 O 1.93-2.04
O (0.0000, 0.2677, 0.0000)  3 Co 1.89-1.99, 2 Li 1.93
O (0.0000, 0.2710, 0.5000)  3 Co 1.87-1.93, 2 Li 1.99
O (0.2203, 0.5000, 0.9611)  2 Co 1.83-1.85, 3 Li 2.01-2.04
O (0.2290, 0.5000, 0.4730)  4 Co 1.87-2.04

Properties
* total moment: 10.21 μB/cell
* ΔE_f (raw): -1.56 eV per atom